Computed, not measured: Dy2Zn5Si after structural relaxation at the GGA-PBE level of DFT.

The structure in CIF format:
```
data_Dy2Zn5Si
_chemical_formula_sum 'Dy8 Zn20 Si4'
_cell_length_a 4.268
_cell_length_b 15.748
_cell_length_c 8.765
_cell_angle_alpha 90.00
_cell_angle_beta 90.00
_cell_angle_gamma 90.00
_space_group_name_H-M_alt 'C m c m'
_space_group_IT_number 63
_space_group_name_Hall '-C 2c 2'
loop_
_atom_site_label
_atom_site_type_symbol
_atom_site_fract_x
_atom_site_fract_y
_atom_site_fract_z
Dy1 Dy 0.000 0.000 0.000
Dy2 Dy 0.000 0.199 0.250
Zn1 Zn 0.000 0.188 0.606
Zn2 Zn 0.000 0.352 0.526
Zn3 Zn 0.000 0.401 0.250
Si1 Si 0.000 0.446 0.750
```

Results
For the energy relative to the elements, uncorrected, the calculation gives -3.48 eV/f.u. The total moment is 0.00 μB per formula unit.

Computed, not measured: Zn2CrRe after structural relaxation at the GGA-PBE level of DFT.

The structure in CIF format:
```
data_Zn2CrRe
_chemical_formula_sum 'Zn4 Cr2 Re2'
_cell_length_a 3.057
_cell_length_b 4.188
_cell_length_c 8.666
_cell_angle_alpha 90.00
_cell_angle_beta 90.00
_cell_angle_gamma 90.00
_space_group_name_H-M_alt 'C m m m'
_space_group_IT_number 65
_space_group_name_Hall '-C 2 2'
loop_
_atom_site_label
_atom_site_type_symbol
_atom_site_fract_x
_atom_site_fract_y
_atom_site_fract_z
Zn1 Zn 0.000 0.000 0.241
Cr1 Cr 0.000 0.500 0.000
Re1 Re 0.000 0.500 0.500
```

Results
The calculation puts the energy above the most stable polymorph in this dataset at 179 meV/atom. The total moment is 0.43 μB per formula unit. The calculation puts the formation energy at 0.290 eV per atom.